# 1
First-principles (PBE) data for a relaxed MnMo3I crystal, as listed in Alexandria.

Output
- DOS(E_F): 1.6962 states/eV/atom
- Energy relative to the elements, uncorrected: 1399 meV/atom
- Size of the total moment: 0.000 μB/atom

Cell: 4.5721 4.5721 4.5721 Å, 90.00 90.00 90.00°
With the nearest neighbours (Å) after each atom.
Fractional coordinates of all 5 atoms:
Mn: 0.0000 0.0000 0.0000  6 Mo 2.29
Mo: 0.0000 0.0000 0.5000  2 Mn 2.29
Mo: 0.0000 0.5000 0.0000  2 Mn 2.29
Mo: 0.5000 0.0000 0.0000  2 Mn 2.29
I: 0.5000 0.5000 0.5000  12 Mo 3.23

***

# 2
First-principles (PBE) data for a relaxed YZn2Si crystal, as listed in Alexandria.

Output
- DOS(E_F): 0.3946 states/eV/atom
- Energy relative to the elements, uncorrected: -343 meV/atom
- Size of the total moment: 0.000 μB/atom

Cell: 7.1630 4.1425 5.6572 Å, 90.00 115.06 90.00°
With the nearest neighbours (Å) after each atom.
Fractional coordinates of all 8 atoms:
Y: 0.0000 0.0000 0.0000  3 Zn 2.96, 3 Si 2.99
Y: 0.5000 0.5000 0.0000  3 Zn 2.96, 3 Si 2.99
Zn: 0.0088 0.5000 0.5269  3 Si 2.47, 3 Zn 2.57
Zn: 0.2806 0.5000 0.3411  3 Zn 2.57, 3 Si 2.85-2.86
Zn: 0.5088 0.0000 0.5269  3 Si 2.47, 3 Zn 2.57
Zn: 0.7806 0.0000 0.3411  3 Zn 2.57, 3 Si 2.85-2.86
Si: 0.2157 0.0000 0.6481  3 Zn 2.47
Si: 0.7157 0.5000 0.6481  3 Zn 2.47

***

# 3
First-principles (PBE) data for a relaxed PmPrNdIn crystal, as listed in Alexandria.

Output
- DOS(E_F): 1.3491 states/eV/atom
- Size of the total moment: 0.000 μB/atom
- Total energy: -4.512 eV per atom

Cell: 4.9137 4.9137 10.2726 Å, 90.00 90.00 90.00°
With the nearest neighbours (Å) after each atom.
Fractional coordinates of all 8 atoms:
Pm: 0.0000 0.0000 0.0000  4 Nd 3.47, 4 In 3.55, 4 Pr 3.55
Pm: 0.5000 0.5000 0.5000  4 Nd 3.47, 4 In 3.55, 4 Pr 3.55
Pr: 0.0000 0.5000 0.7500  4 In 3.47, 4 Nd 3.55, 4 Pm 3.55
Pr: 0.5000 0.0000 0.2500  4 In 3.47, 4 Nd 3.55, 4 Pm 3.55
Nd: 0.0000 0.0000 0.5000  4 Pm 3.47, 4 In 3.55, 4 Pr 3.55
Nd: 0.5000 0.5000 0.0000  4 Pm 3.47, 4 In 3.55, 4 Pr 3.55
In: 0.0000 0.5000 0.2500  4 Pr 3.47, 4 Nd 3.55, 4 Pm 3.55
In: 0.5000 0.0000 0.7500  4 Pr 3.47, 4 Nd 3.55, 4 Pm 3.55

***

# 4
First-principles (PBE) data for a relaxed TcSe2BrF crystal, as listed in Alexandria.

Output
- DOS(E_F): 1.5265 states/eV/atom
- Energy relative to the elements, uncorrected: 797 meV/atom
- Size of the total moment: 0.001 μB/atom

Cell: 5.4248 5.4248 3.7094 Å, 90.00 90.00 90.00°
With the nearest neighbours (Å) after each atom.
Fractional coordinates of all 5 atoms:
Tc: 0.0000 0.0000 0.0000  2 F 1.85
Se: 0.0000 0.5000 0.5000  2 F 2.71
Se: 0.5000 0.0000 0.5000  2 F 2.71
Br: 0.5000 0.5000 0.0000  8 Se 3.29
F: 0.0000 0.0000 0.5000  2 Tc 1.85

***

# 5
First-principles (PBE) data for a relaxed SrZrCu crystal, as listed in Alexandria.

Output
- DOS(E_F): 0.7398 states/eV/atom
- Size of the total moment: 0.000 μB/atom
- Total energy: -3.403 eV per atom

Cell: 6.8440 6.8440 6.8440 Å, 90.00 90.00 90.00°
With the nearest neighbours (Å) after each atom.
Fractional coordinates of all 12 atoms:
Sr: 0.0000 0.0000 0.0000  4 Cu 2.96, 4 Zr 2.96
Sr: 0.0000 0.5000 0.5000  4 Cu 2.96, 4 Zr 2.96
Sr: 0.5000 0.0000 0.5000  4 Cu 2.96, 4 Zr 2.96
Sr: 0.5000 0.5000 0.0000  4 Cu 2.96, 4 Zr 2.96
Zr: 0.2500 0.2500 0.2500  4 Sr 2.96
Zr: 0.2500 0.7500 0.7500  4 Sr 2.96
Zr: 0.7500 0.2500 0.7500  4 Sr 2.96
Zr: 0.7500 0.7500 0.2500  4 Sr 2.96
Cu: 0.2500 0.2500 0.7500  4 Sr 2.96
Cu: 0.2500 0.7500 0.2500  4 Sr 2.96
Cu: 0.7500 0.2500 0.2500  4 Sr 2.96
Cu: 0.7500 0.7500 0.7500  4 Sr 2.96

***

# 6
First-principles (PBE) data for a relaxed Sr2CoI crystal, as listed in Alexandria.

Output
- DOS(E_F): 1.4282 states/eV/atom
- Energy relative to the elements, uncorrected: -15 meV/atom
- Size of the total moment: 0.157 μB/atom

Cell: 7.9670 7.9670 7.9670 Å, 90.00 90.00 90.00°
With the nearest neighbours (Å) after each atom.
Fractional coordinates of all 16 atoms:
Sr: 0.2500 0.2500 0.2500  4 Co 3.45, 4 I 3.45
Sr: 0.2500 0.2500 0.7500  4 Co 3.45, 4 I 3.45
Sr: 0.2500 0.7500 0.2500  4 Co 3.45, 4 I 3.45
Sr: 0.2500 0.7500 0.7500  4 Co 3.45, 4 I 3.45
Sr: 0.7500 0.2500 0.2500  4 Co 3.45, 4 I 3.45
Sr: 0.7500 0.2500 0.7500  4 Co 3.45, 4 I 3.45
Sr: 0.7500 0.7500 0.2500  4 Co 3.45, 4 I 3.45
Sr: 0.7500 0.7500 0.7500  4 Co 3.45, 4 I 3.45
Co: 0.0000 0.0000 0.0000  8 Sr 3.45
Co: 0.0000 0.5000 0.5000  8 Sr 3.45
Co: 0.5000 0.0000 0.5000  8 Sr 3.45
Co: 0.5000 0.5000 0.0000  8 Sr 3.45
I: 0.0000 0.0000 0.5000  8 Sr 3.45
I: 0.0000 0.5000 0.0000  8 Sr 3.45
I: 0.5000 0.0000 0.0000  8 Sr 3.45
I: 0.5000 0.5000 0.5000  8 Sr 3.45

***

# 7
First-principles (PBE) data for a relaxed Si3HSe crystal, as listed in Alexandria.

Output
- DOS(E_F): 0.9749 states/eV/atom
- Size of the total moment: 0.050 μB/atom
- Total energy: -2.987 eV per atom

Cell: 5.0099 5.0099 5.0099 Å, 90.00 90.00 90.00°
With the nearest neighbours (Å) after each atom.
Fractional coordinates of all 5 atoms:
Si: 0.0000 0.0000 0.5000  2 Se 2.50
Si: 0.0000 0.5000 0.0000  2 Se 2.50
Si: 0.5000 0.0000 0.0000  2 Se 2.50
H: 0.5000 0.5000 0.5000  12 Si 3.54
Se: 0.0000 0.0000 0.0000  6 Si 2.50

***

# 8
First-principles (PBE) data for a relaxed Ag4Pb2F9 crystal, as listed in Alexandria.

Output
- DOS(E_F): 0.5075 states/eV/atom
- Energy relative to the elements, uncorrected: -1559 meV/atom
- Size of the total moment: 0.066 μB/atom

Cell: 5.9952 6.2284 15.2860 Å, 90.66 92.04 114.90°
With the nearest neighbours (Å) after each atom.
Fractional coordinates of all 30 atoms:
Ag: 0.1474 0.3856 0.2746  4 F 2.33-2.35
Ag: 0.1678 0.3420 0.0140  5 F 2.33-2.49
Ag: 0.1714 0.3412 0.5217  4 F 2.22-2.38
Ag: 0.1804 0.3472 0.7910  5 F 2.30-2.56
Ag: 0.8196 0.6528 0.2090  5 F 2.30-2.56
Ag: 0.8286 0.6588 0.4783  4 F 2.22-2.38
Ag: 0.8322 0.6580 0.9860  5 F 2.33-2.49
Ag: 0.8526 0.6144 0.7254  4 F 2.33-2.35
Pb: 0.4423 0.0052 0.3704  6 F 2.43-2.62
Pb: 0.4552 0.9979 0.1271  7 F 2.43-2.71
Pb: 0.5448 0.0021 0.8729  7 F 2.43-2.71
Pb: 0.5577 0.9948 0.6296  6 F 2.43-2.62
F: 0.0481 0.6306 0.3685  2 Ag 2.22-2.35
F: 0.0810 0.5986 0.1091  3 Ag 2.35-2.49, 1 Pb 2.56
F: 0.1638 0.0274 0.2380  2 Ag 2.34-2.40, 1 Pb 2.54
F: 0.2174 0.9396 0.5267  1 Ag 2.34, 1 Pb 2.43
F: 0.2395 0.9958 0.9791  2 Ag 2.43-2.47, 2 Pb 2.48-2.56
F: 0.2829 0.7705 0.7450  2 Ag 2.35-2.56, 2 Pb 2.47-2.49
F: 0.4429 0.3874 0.4152  2 Ag 2.28-2.38, 1 Pb 2.47
F: 0.4822 0.5960 0.8986  2 Ag 2.33-2.40, 1 Pb 2.43
F: 0.4965 0.2682 0.7409  2 Ag 2.30-2.33, 1 Pb 2.54
F: 0.5035 0.7318 0.2591  2 Ag 2.30-2.33, 1 Pb 2.54
F: 0.5178 0.4040 0.1014  2 Ag 2.33-2.40, 1 Pb 2.43
F: 0.5571 0.6126 0.5848  2 Ag 2.28-2.38, 1 Pb 2.47
F: 0.7171 0.2295 0.2550  2 Ag 2.35-2.56, 2 Pb 2.47-2.49
F: 0.7605 0.0042 0.0209  2 Ag 2.43-2.47, 2 Pb 2.48-2.56
F: 0.7826 0.0604 0.4733  1 Ag 2.34, 1 Pb 2.43
F: 0.8362 0.9726 0.7620  2 Ag 2.34-2.40, 1 Pb 2.54
F: 0.9190 0.4014 0.8909  3 Ag 2.35-2.49, 1 Pb 2.56
F: 0.9519 0.3694 0.6315  2 Ag 2.22-2.35

***

# 9
First-principles (PBE) data for a relaxed Mg4AgPd crystal, as listed in Alexandria.

Output
- DOS(E_F): 0.4331 states/eV/atom
- Size of the total moment: 0.000 μB/atom
- Total energy: -2.642 eV per atom

Cell: 4.5342 4.5342 6.4561 Å, 90.00 90.00 90.00°
With the nearest neighbours (Å) after each atom.
Fractional coordinates of all 6 atoms:
Mg: 0.0000 0.5000 0.2381  2 Pd 2.74, 2 Ag 2.83
Mg: 0.0000 0.5000 0.7619  2 Pd 2.74, 2 Ag 2.83
Mg: 0.5000 0.0000 0.2381  2 Pd 2.74, 2 Ag 2.83
Mg: 0.5000 0.0000 0.7619  2 Pd 2.74, 2 Ag 2.83
Ag: 0.0000 0.0000 0.5000  8 Mg 2.83
Pd: 0.5000 0.5000 0.0000  8 Mg 2.74

***

# 10
First-principles (PBE) data for a relaxed CaCr2Rh crystal, as listed in Alexandria.

Output
- DOS(E_F): 1.5226 states/eV/atom
- Size of the total moment: 1.972 μB/atom
- Total energy: -6.485 eV per atom

Cell: 7.7104 7.7104 5.7656 Å, 90.00 90.00 90.00°
With the nearest neighbours (Å) after each atom.
Fractional coordinates of all 16 atoms:
Ca: 0.0000 0.0000 0.0000  2 Rh 2.88, 8 Cr 3.21-3.22
Ca: 0.0000 0.5000 0.2500  2 Rh 2.88, 8 Cr 3.21-3.22
Ca: 0.5000 0.0000 0.7500  2 Rh 2.88, 8 Cr 3.21-3.22
Ca: 0.5000 0.5000 0.5000  2 Rh 2.88, 8 Cr 3.21-3.22
Cr: 0.1791 0.2500 0.6250  2 Rh 2.48
Cr: 0.2500 0.6791 0.8750  2 Rh 2.48
Cr: 0.2500 0.8209 0.3750  2 Rh 2.48
Cr: 0.3209 0.2500 0.1250  2 Rh 2.48
Cr: 0.6791 0.7500 0.1250  2 Rh 2.48
Cr: 0.7500 0.1791 0.3750  2 Rh 2.48
Cr: 0.7500 0.3209 0.8750  2 Rh 2.48
Cr: 0.8209 0.7500 0.6250  2 Rh 2.48
Rh: 0.0000 0.0000 0.5000  4 Cr 2.48
Rh: 0.0000 0.5000 0.7500  4 Cr 2.48
Rh: 0.5000 0.0000 0.2500  4 Cr 2.48
Rh: 0.5000 0.5000 0.0000  4 Cr 2.48

***

# 11
First-principles (PBE) data for a relaxed ZrFeSi2Ni crystal, as listed in Alexandria.

Output
- DOS(E_F): 0.5983 states/eV/atom
- Energy relative to the elements, uncorrected: -728 meV/atom
- Size of the total moment: 0.000 μB/atom

Cell: 3.7584 3.7584 9.7451 Å, 90.00 90.00 90.00°
With the nearest neighbours (Å) after each atom.
Fractional coordinates of all 10 atoms:
Zr: 0.0000 0.0000 0.0000  8 Si 2.91, 4 Fe 3.08, 4 Ni 3.08
Zr: 0.5000 0.5000 0.5000  8 Si 2.91, 4 Fe 3.08, 4 Ni 3.08
Fe: 0.0000 0.5000 0.7500  4 Si 2.26
Fe: 0.5000 0.0000 0.2500  4 Si 2.26
Si: 0.0000 0.0000 0.3792  2 Fe 2.26, 2 Ni 2.26, 1 Si 2.36
Si: 0.0000 0.0000 0.6208  2 Fe 2.26, 2 Ni 2.26, 1 Si 2.36
Si: 0.5000 0.5000 0.1208  2 Fe 2.26, 2 Ni 2.26, 1 Si 2.36
Si: 0.5000 0.5000 0.8792  2 Fe 2.26, 2 Ni 2.26, 1 Si 2.36
Ni: 0.0000 0.5000 0.2500  4 Si 2.26
Ni: 0.5000 0.0000 0.7500  4 Si 2.26

***

# 12
First-principles (PBE) data for a relaxed LaHg2BAs crystal, as listed in Alexandria.

Output
- DOS(E_F): 0.3842 states/eV/atom
- Size of the total moment: 0.000 μB/atom
- Total energy: -3.345 eV per atom

Cell: 4.4216 4.4216 5.9215 Å, 90.00 90.00 90.00°
With the nearest neighbours (Å) after each atom.
Fractional coordinates of all 5 atoms:
La: 0.0000 0.0000 0.0000  4 As 3.13
Hg: 0.0000 0.5000 0.5000  2 B 2.21
Hg: 0.5000 0.0000 0.5000  2 B 2.21
B: 0.5000 0.5000 0.5000  4 Hg 2.21
As: 0.5000 0.5000 0.0000  2 B 2.96, 4 La 3.13